# 1
Crystalline VHg3O at its relaxed geometry, computed with PBE with a Hubbard U.

a b c (Å): 5.5789 5.5789 5.5789
angles (deg): 90.00 90.00 90.00
Site moments in Bohr magnetons follow the coordinates.
Element x y z (fractional)
V (0.0000, 0.0000, 0.0000)  3.07
Hg (0.0000, 0.5000, 0.0000)  0.04
Hg (0.5000, 0.0000, 0.0000)  0.04
Hg (0.0000, 0.0000, 0.5000)  0.04
O (0.5000, 0.5000, 0.5000)  1.08

Magnetic moment in μB per formula unit: 5.26
Offset from the most stable computed form in eV per atom: 0.276
Calculated volume in Å³/f.u.: 173.6

***

# 2
Crystalline V2HgO at its relaxed geometry, computed with PBE with a Hubbard U.

a b c (Å): 4.5540 4.5540 4.5540
angles (deg): 60.00 60.00 60.00
Site moments in Bohr magnetons follow the coordinates.
Element x y z (fractional)
Hg (0.5000, 0.5000, 0.5000)  0.15
V (0.7500, 0.7500, 0.7500)  2.79
V (0.2500, 0.2500, 0.2500)  2.79
O (0.0000, 0.0000, 0.0000)  0.08

Magnetic moment in μB per formula unit: 6.77
Offset from the most stable computed form in eV per atom: 0.991
Calculated volume in Å³/f.u.: 66.8

***

# 3
Crystalline VHgO4 at its relaxed geometry, computed with PBE with a Hubbard U.

a b c (Å): 4.9173 5.1960 7.3900
angles (deg): 108.50 107.25 95.90
Site moments in Bohr magnetons follow the coordinates.
Element x y z (fractional)
O (0.0771, 0.8491, 0.0844)  0.19
O (0.9229, 0.1509, 0.9156)  0.19
O (0.2592, 0.0528, 0.6696)  0.10
O (0.0896, 0.3832, 0.3304)  0.10
O (0.7408, 0.9472, 0.3304)  0.10
O (0.5074, 0.2354, 0.0844)  0.19
O (0.9104, 0.6168, 0.6696)  0.10
O (0.4926, 0.7646, 0.9156)  0.19
Hg (0.6142, 0.3642, 0.7284)  0.04
Hg (0.3858, 0.6358, 0.2716)  0.04
V (0.1707, 0.9207, 0.8414)  -0.10
V (0.8293, 0.0793, 0.1586)  -0.10

Magnetic moment in μB per formula unit: 0.63
Raw total energy in eV per atom: -5.555
Calculated volume in Å³/f.u.: 83.5

***

# 4
Crystalline VHg2O4 at its relaxed geometry, computed with PBE with a Hubbard U.

a b c (Å): 3.0056 5.1814 6.5861
angles (deg): 109.63 103.19 90.00
Element x y z (fractional)
Hg (0.3092, 0.3357, 0.6185)
Hg (0.6908, 0.6643, 0.3815)
O (0.8592, 0.0354, 0.7184)
O (0.1408, 0.9646, 0.2816)
O (0.5440, 0.2559, 0.0880)
O (0.4560, 0.7441, 0.9120)
V (0.0000, 0.0000, 0.0000)

Magnetic moment in μB per formula unit: 0.00
Offset from the most stable computed form in eV per atom: 0.205
Calculated volume in Å³/f.u.: 93.7

***

# 5
Crystalline V2HgO at its relaxed geometry, computed with PBE with a Hubbard U.

a b c (Å): 6.3117 6.3117 5.7203
angles (deg): 56.52 56.52 90.00
Site moments in Bohr magnetons follow the coordinates.
Element x y z (fractional)
Hg (0.0000, 0.0000, 0.0000)  0.01
Hg (0.7500, 0.2500, 0.5000)  0.01
V (0.8750, 0.7614, 0.7500)  2.65
V (0.2386, 0.6250, 0.2500)  2.65
V (0.3750, 0.4886, 0.7500)  2.65
V (0.5114, 0.1250, 0.2500)  2.65
O (0.5000, 0.5000, 0.0000)  -0.06
O (0.2500, 0.7500, 0.5000)  -0.06

Magnetic moment in μB per formula unit: 5.94
Offset from the most stable computed form in eV per atom: 0.000
Calculated volume in Å³/f.u.: 71.3

***

# 6
Crystalline VHgO at its relaxed geometry, computed with PBE with a Hubbard U.

a b c (Å): 3.1410 5.3223 7.7492
angles (deg): 98.52 101.69 90.00
Site moments in Bohr magnetons follow the coordinates.
Element x y z (fractional)
V (0.7435, 0.7300, 0.4871)  2.05
V (0.2565, 0.2700, 0.5129)  2.05
O (0.8159, 0.4454, 0.6318)  -0.07
O (0.1841, 0.5546, 0.3682)  -0.07
Hg (0.4053, 0.9640, 0.8106)  -0.01
Hg (0.5947, 0.0360, 0.1894)  -0.01

Magnetic moment in μB per formula unit: 2.16
Raw total energy in eV per atom: -4.907
Calculated volume in Å³/f.u.: 62.7

***

# 7
Crystalline V2HgO6 at its relaxed geometry, computed with PBE with a Hubbard U.

a b c (Å): 5.9935 7.3680 7.3680
angles (deg): 84.38 74.97 74.97
Element x y z (fractional)
V (0.2626, 0.6214, 0.7861)
V (0.7626, 0.7861, 0.6214)
V (0.7374, 0.3786, 0.2139)
V (0.2374, 0.2139, 0.3786)
O (0.5516, 0.6441, 0.6488)
O (0.1511, 0.7991, 0.9440)
O (0.7865, 0.9002, 0.4120)
O (0.3489, 0.0560, 0.2009)
O (0.0516, 0.6488, 0.6441)
O (0.8489, 0.2009, 0.0560)
O (0.4484, 0.3559, 0.3512)
O (0.6511, 0.9440, 0.7991)
O (0.2865, 0.4120, 0.9002)
O (0.2135, 0.0998, 0.5880)
O (0.9484, 0.3512, 0.3559)
O (0.7135, 0.5880, 0.0998)
Hg (0.7500, 0.8929, 0.1071)
Hg (0.2500, 0.1071, 0.8929)

Magnetic moment in μB per formula unit: 0.00
Raw total energy in eV per atom: -6.482
Calculated volume in Å³/f.u.: 151.7

***

# 8
Crystalline V2HgO6 at its relaxed geometry, computed with PBE with a Hubbard U.

a b c (Å): 4.9964 6.0836 14.6547
angles (deg): 90.00 90.00 90.00
Element x y z (fractional)
O (0.6606, 0.1773, 0.3905)
O (0.9393, 0.6214, 0.9038)
O (0.1606, 0.8227, 0.1095)
O (0.4393, 0.3786, 0.5962)
O (0.7743, 0.4035, 0.2529)
O (0.2743, 0.5965, 0.2471)
O (0.3394, 0.3227, 0.8905)
O (0.4393, 0.8786, 0.9038)
O (0.7257, 0.4035, 0.7529)
O (0.5607, 0.1214, 0.0962)
O (0.8394, 0.1773, 0.8905)
O (0.5607, 0.6214, 0.4038)
O (0.1606, 0.3227, 0.3905)
O (0.7743, 0.9035, 0.2471)
O (0.2743, 0.0965, 0.2529)
O (0.9393, 0.1214, 0.5962)
O (0.0607, 0.8786, 0.4038)
O (0.8394, 0.6773, 0.6095)
O (0.2257, 0.0965, 0.7529)
O (0.3394, 0.8227, 0.6095)
O (0.0607, 0.3786, 0.0962)
O (0.7257, 0.9035, 0.7471)
O (0.6606, 0.6773, 0.1095)
O (0.2257, 0.5965, 0.7471)
V (0.9667, 0.0641, 0.3290)
V (0.0333, 0.4359, 0.8290)
V (0.0333, 0.9359, 0.6710)
V (0.4667, 0.9359, 0.1710)
V (0.4667, 0.4359, 0.3290)
V (0.5333, 0.5641, 0.6710)
V (0.9667, 0.5641, 0.1710)
V (0.5333, 0.0641, 0.8290)
Hg (0.5000, 0.5000, 0.0000)
Hg (0.0000, 0.5000, 0.5000)
Hg (0.0000, 0.0000, 0.0000)
Hg (0.5000, 0.0000, 0.5000)

Magnetic moment in μB per formula unit: 0.00
Raw total energy in eV per atom: -6.468
Calculated volume in Å³/f.u.: 111.4